Record 1
A plane-wave DFT calculation with GGA-PBE was carried out for crystalline Pr5Er2Sc at its relaxed geometry.

Properties
Total magnetization ... 0.5 μB per formula unit
Space group ... I4/mcm

abc: 9.2271 9.2271 9.0774
angles: 120.55 120.55 90.00
Last column: nearest neighbours and their distance in Å.
Fractional positions:
Pr (0.4862, 0.6828, 0.6689)  3 Pr 3.34-3.52, 3 Er 3.39-3.43, 2 Sc 3.66
Pr (0.8172, 0.0138, 0.3311)  3 Pr 3.34-3.52, 3 Er 3.39-3.43, 2 Sc 3.66
Pr (0.0000, 0.0000, 0.0000)  2 Sc 3.16
Pr (0.5000, 0.5000, 0.0000)  2 Sc 3.16
Pr (0.1828, 0.9862, 0.6689)  3 Pr 3.34-3.52, 3 Er 3.39-3.43, 2 Sc 3.66
Pr (0.6828, 0.1828, 0.6689)  3 Pr 3.34-3.52, 3 Er 3.39-3.43, 2 Sc 3.66
Pr (0.9862, 0.4862, 0.6689)  3 Pr 3.34-3.52, 3 Er 3.39-3.43, 2 Sc 3.66
Pr (0.3172, 0.8172, 0.3311)  3 Pr 3.34-3.52, 3 Er 3.39-3.43, 2 Sc 3.66
Pr (0.0138, 0.5138, 0.3311)  3 Pr 3.34-3.52, 3 Er 3.39-3.43, 2 Sc 3.66
Pr (0.5138, 0.3172, 0.3311)  3 Pr 3.34-3.52, 3 Er 3.39-3.43, 2 Sc 3.66
Er (0.1434, 0.3566, 0.0000)  8 Pr 3.39-3.55, 1 Er 3.74
Er (0.6434, 0.1434, 0.0000)  8 Pr 3.39-3.55, 1 Er 3.74
Er (0.3566, 0.8566, 0.0000)  8 Pr 3.39-3.55, 1 Er 3.74
Er (0.8566, 0.6434, 0.0000)  8 Pr 3.39-3.55, 1 Er 3.74
Sc (0.7500, 0.7500, 0.5000)  2 Pr 3.16
Sc (0.2500, 0.2500, 0.5000)  2 Pr 3.16

Record 2
A plane-wave DFT calculation with GGA-PBE was carried out for crystalline PrEr12Sc2 at its relaxed geometry.

Properties
Total magnetization ... 0.0 μB per formula unit
Space group ... P2/m

abc: 6.6039 6.6039 24.7895
angles: 101.18 78.82 65.24
Last column: nearest neighbours and their distance in Å.
Fractional positions:
Pr (0.5000, 0.0000, 0.0001)  2 Pr 3.56, 8 Er 3.67
Pr (0.0000, 0.5000, 0.9999)  2 Pr 3.56, 8 Er 3.67
Er (0.4955, 0.5043, 0.8037)  10 Er 3.40-3.56, 2 Sc 3.47
Er (0.9957, 0.0045, 0.8037)  10 Er 3.40-3.56, 2 Sc 3.47
Er (0.9429, 0.5571, 0.8456)  8 Er 3.41-3.56, 2 Sc 3.53
Er (0.0871, 0.9131, 0.9305)  7 Er 3.21-3.56
Er (0.0977, 0.9023, 0.3216)  8 Er 3.31-3.60, 4 Sc 3.40
Er (0.4129, 0.5869, 0.0695)  7 Er 3.21-3.56
Er (0.8032, 0.1967, 0.5577)  10 Er 3.20-3.56
Er (0.5977, 0.4023, 0.3216)  8 Er 3.31-3.60, 4 Sc 3.40
Er (0.4432, 0.0568, 0.8454)  8 Er 3.41-3.56, 2 Sc 3.53
Er (0.5571, 0.9429, 0.1544)  8 Er 3.41-3.56, 2 Sc 3.53
Er (0.2762, 0.2238, 0.5796)  8 Er 3.34-3.60, 2 Sc 3.58
Er (0.6968, 0.3033, 0.4423)  10 Er 3.20-3.56
Er (0.9023, 0.0977, 0.6784)  8 Er 3.31-3.60, 4 Sc 3.40
Er (0.2238, 0.2762, 0.4204)  8 Er 3.34-3.60, 2 Sc 3.58
Er (0.0568, 0.4432, 0.1546)  8 Er 3.41-3.56, 2 Sc 3.53
Er (0.7235, 0.7765, 0.4205)  8 Er 3.34-3.60, 2 Sc 3.58
Er (0.7765, 0.7235, 0.5795)  8 Er 3.34-3.60, 2 Sc 3.58
Er (0.0045, 0.9957, 0.1963)  10 Er 3.40-3.56, 2 Sc 3.47
Er (0.3033, 0.6968, 0.5577)  10 Er 3.20-3.56
Er (0.4023, 0.5977, 0.6784)  8 Er 3.31-3.60, 4 Sc 3.40
Er (0.5869, 0.4129, 0.9305)  7 Er 3.21-3.56
Er (0.5043, 0.4955, 0.1963)  10 Er 3.40-3.56, 2 Sc 3.47
Er (0.1967, 0.8032, 0.4423)  10 Er 3.20-3.56
Er (0.9131, 0.0871, 0.0695)  7 Er 3.21-3.56
Sc (0.6417, 0.8583, 0.2862)  10 Er 3.40-3.58, 2 Sc 3.56
Sc (0.1420, 0.3580, 0.2862)  10 Er 3.40-3.58, 2 Sc 3.56
Sc (0.8583, 0.6417, 0.7138)  10 Er 3.40-3.58, 2 Sc 3.56
Sc (0.3580, 0.1420, 0.7138)  10 Er 3.40-3.58, 2 Sc 3.56

Record 3
A plane-wave DFT calculation with GGA-PBE was carried out for crystalline Pr6Er5Sc at its relaxed geometry.

Properties
Total magnetization ... 0.0 μB per formula unit
Space group ... Immm

abc: 5.1379 9.9247 9.5101
angles: 121.44 105.69 90.01
Last column: nearest neighbours and their distance in Å.
Fractional positions:
Pr (0.8341, 0.5865, 0.6685)  1 Sc 3.54, 7 Er 3.56-3.60, 4 Pr 3.62-3.65
Pr (0.8342, 0.0820, 0.6685)  1 Sc 3.54, 7 Er 3.56-3.60, 4 Pr 3.62-3.65
Pr (0.4999, 0.7545, 0.0001)  6 Er 3.53-3.60, 2 Sc 3.54, 4 Pr 3.62
Pr (0.5001, 0.2455, 0.9999)  6 Er 3.53-3.60, 2 Sc 3.54, 4 Pr 3.62
Pr (0.1658, 0.9180, 0.3315)  1 Sc 3.54, 7 Er 3.56-3.60, 4 Pr 3.62-3.65
Pr (0.1659, 0.4135, 0.3315)  1 Sc 3.54, 7 Er 3.56-3.60, 4 Pr 3.62-3.65
Sc (0.0000, 0.0000, 0.0000)  8 Pr 3.54, 4 Er 3.62-3.63
Er (0.6662, 0.1662, 0.3324)  8 Pr 3.53-3.60, 2 Sc 3.62-3.63, 2 Er 3.65
Er (0.3344, 0.3344, 0.6688)  8 Pr 3.58-3.59, 4 Er 3.62-3.65
Er (0.0000, 0.5000, 0.0000)  8 Pr 3.57-3.60, 4 Er 3.62
Er (0.6656, 0.6656, 0.3312)  8 Pr 3.58-3.59, 4 Er 3.62-3.65
Er (0.3338, 0.8338, 0.6676)  8 Pr 3.53-3.60, 2 Sc 3.62-3.63, 2 Er 3.65

| no. | electronic total energy (eV per atom) |
| --- | --- |
| 1 | -4.794 |
| 2 | -4.725 |
| 3 | -4.791 |